No. 1
VASP calculation (PBE-GGA) on a relaxed CaAs12Ir4 crystal.

Output
Total magnetic moment ... 0.00 μB/f.u.
Space-group type ... Im-3 (204)
E ... -5.944 eV/atom
Calculated formation energy ... -0.459 eV/atom

```
CaAs12Ir4
1.0
-4.340 4.340 4.340
4.340 -4.340 4.340
4.340 4.340 -4.340
Ca As Ir
1 12 4
direct
0.000 0.000 0.000
0.146 0.346 0.492
0.146 0.654 0.800
0.200 0.854 0.346
0.346 0.200 0.854
0.346 0.492 0.146
0.492 0.146 0.346
0.508 0.854 0.654
0.654 0.508 0.854
0.654 0.800 0.146
0.800 0.146 0.654
0.854 0.346 0.200
0.854 0.654 0.508
0.000 0.000 0.500
0.000 0.500 0.000
0.500 0.000 0.000
0.500 0.500 0.500
```



No. 2
VASP calculation (PBE-GGA) on a relaxed PmTeP crystal.

Output
Total magnetic moment ... 0.00 μB/f.u.
Polymorph energy (0 for the lowest one) ... 0.221 eV/atom
Space-group type ... I4mm (107)
E ... -5.332 eV/atom

```
PmTeP
1.0
3.993 0.000 0.000
0.000 3.993 0.000
0.000 0.000 10.500
Pm Te P
2 2 2
direct
0.000 0.000 0.000
0.500 0.500 0.500
0.000 0.000 0.327
0.500 0.500 0.827
0.000 0.000 0.572
0.500 0.500 0.072
```



Q: Look up the E of the second one.
A: -5.332 eV/atom